Entry 1:
This record from Alexandria describes a PBEsol-optimized structure of K2ZnCl. The functional is SCAN.

Output
D(E_F) ... 1.62 states/eV/f.u.
Formation energy from raw total energies ... -0.787 eV/atom

Structure (POSCAR):
```
K2ZnCl
1.0
3.8914 0.0000 0.0000
0.0000 5.5948 0.0000
0.0000 0.0000 5.5948
K Cl Zn
2 1 1
Direct
0.0000 0.5000 0.0000
0.0000 0.0000 0.5000
0.5000 0.0000 0.0000
0.5000 0.5000 0.5000
```


Entry 2:
This record from Alexandria describes a PBEsol-optimized structure of KZn2Cl. The functional is SCAN.

Output
D(E_F) ... 0.27 states/eV/f.u.
Formation energy from raw total energies ... -0.431 eV/atom

Structure (POSCAR):
```
KZn2Cl
1.0
-2.6136 4.0129 0.4955
-2.4868 1.7992 -4.2978
-5.2419 -0.5642 0.3109
Zn Cl K
2 1 1
Direct
0.9351 0.0649 0.0649
0.2971 0.2029 0.2029
0.5165 0.4835 0.4835
0.7513 0.7487 0.7487
```


no.,total energy (eV for the cell shown),volume (Å³ per cell)
1,-41.30,122
2,-45.06,104